# Pm3Pr6Ho2Tl (PBE, relaxed)
data_Pm3Pr6Ho2Tl
_cell_length_a 6.3184
_cell_length_b 6.3184
_cell_length_c 11.9400
_cell_angle_alpha 95.19
_cell_angle_beta 95.19
_cell_angle_gamma 120.26
_space_group_name_H-M_alt 'P 1'
_space_group_IT_number 1
loop_
_space_group_symop_operation_xyz
'x,y,z'
loop_
_atom_site_label
_atom_site_fract_x
_atom_site_fract_y
_atom_site_fract_z
Pm1 0.5000 0.5000 0.5000
Pm2 0.1690 0.8310 0.5000
Pm3 0.8310 0.1690 0.5000
Pr1 0.9201 0.5927 0.7562
Pr2 0.4073 0.0799 0.2438
Pr3 0.2462 0.2462 0.7537
Pr4 0.5927 0.9201 0.7562
Pr5 0.0799 0.4073 0.2438
Pr6 0.7538 0.7538 0.2463
Ho1 0.3342 0.6658 0.0000
Ho2 0.6658 0.3342 0.0000
Tl1 0.0000 0.0000 0.0000
# Space-group type: C2/m (12)
# E in eV/cell: -54.519
# Energy relative to the elements in eV/atom: -0.006
# Calculated density in g/cm³: 7.4